(1)
InTeS2: optimized geometry, GGA-PBE.

```
data_InTeS2
_space_group_name_H-M_alt 'P 1'
_space_group_IT_number 1
_space_group_name_Hall 'P 1'
_cell_length_a 8.462
_cell_length_b 8.462
_cell_length_c 8.462
_cell_angle_alpha 26.24
_cell_angle_beta 26.24
_cell_angle_gamma 26.24
loop_
_atom_site_label
_atom_site_fract_x
_atom_site_fract_y
_atom_site_fract_z
_atom_site_occupancy
S1 0.892 0.892 0.892 1
S2 0.108 0.108 0.108 1
Te1 0.000 0.000 0.000 1
In1 0.500 0.500 0.500 1
```

Computed properties:
Total moment, μB/atom: 0.00
Symmetry: R-3m, No. 166
Electronic total energy, eV per atom: -3.789
Formation energy from raw total energies, eV/atom: -0.26
DOS(E_F), states/eV/cell: 1.54
Relative energy among the computed polymorphs, eV per atom: 0.000

***

(2)
In3TeS6: optimized geometry, GGA-PBE.

```
data_In3TeS6
_space_group_name_H-M_alt 'P 1'
_space_group_IT_number 1
_space_group_name_Hall 'P 1'
_cell_length_a 3.897
_cell_length_b 13.746
_cell_length_c 12.990
_cell_angle_alpha 124.51
_cell_angle_beta 82.13
_cell_angle_gamma 89.05
loop_
_atom_site_label
_atom_site_fract_x
_atom_site_fract_y
_atom_site_fract_z
_atom_site_occupancy
In1 0.791 0.559 0.903 1
In2 0.209 0.441 0.097 1
In3 0.570 0.672 0.373 1
In4 0.429 0.328 0.627 1
In5 0.692 0.226 0.177 1
In6 0.308 0.774 0.823 1
Te1 0.801 0.942 0.715 1
Te2 0.199 0.058 0.285 1
S1 0.913 0.454 0.651 1
S2 0.087 0.546 0.349 1
S3 0.716 0.013 0.118 1
S4 0.284 0.987 0.882 1
S5 0.749 0.285 0.029 1
S6 0.251 0.715 0.971 1
S7 0.681 0.594 0.138 1
S8 0.319 0.406 0.862 1
S9 0.548 0.112 0.461 1
S10 0.452 0.888 0.539 1
S11 0.880 0.701 0.675 1
S12 0.120 0.299 0.325 1
```

Computed properties:
Total moment, μB/atom: 0.08
Symmetry: P-1, No. 2
Electronic total energy, eV per atom: -3.917
Formation energy from raw total energies, eV/atom: -0.31
DOS(E_F), states/eV/cell: 5.06
Relative energy among the computed polymorphs, eV per atom: 0.000

***

(3)
In3TeS6: optimized geometry, GGA-PBE.

```
data_In3TeS6
_space_group_name_H-M_alt 'P 1'
_space_group_IT_number 1
_space_group_name_Hall 'P 1'
_cell_length_a 4.204
_cell_length_b 11.372
_cell_length_c 10.673
_cell_angle_alpha 111.57
_cell_angle_beta 90.00
_cell_angle_gamma 90.00
loop_
_atom_site_label
_atom_site_fract_x
_atom_site_fract_y
_atom_site_fract_z
_atom_site_occupancy
In1 0.750 0.421 0.837 1
In2 0.250 0.579 0.163 1
In3 0.750 0.649 0.475 1
In4 0.250 0.351 0.525 1
In5 0.750 0.155 0.067 1
In6 0.250 0.845 0.933 1
Te1 0.750 0.987 0.656 1
Te2 0.250 0.013 0.344 1
S1 0.750 0.478 0.618 1
S2 0.250 0.522 0.382 1
S3 0.750 0.926 0.087 1
S4 0.250 0.074 0.913 1
S5 0.750 0.395 0.068 1
S6 0.250 0.605 0.932 1
S7 0.750 0.726 0.277 1
S8 0.250 0.274 0.723 1
S9 0.750 0.108 0.466 1
S10 0.250 0.892 0.534 1
S11 0.750 0.794 0.726 1
S12 0.250 0.206 0.274 1
```

Computed properties:
Total moment, μB/atom: 0.00
Symmetry: P2_1/m, No. 11
Electronic total energy, eV per atom: -3.895
Formation energy from raw total energies, eV/atom: -0.28
DOS(E_F), states/eV/cell: 3.12
Relative energy among the computed polymorphs, eV per atom: 0.023